{
  "formula": "CrInSi",
  "functional": "SCAN",
  "state": "single point on PBEsol structure",
  "dos_ef_per_ev_fu": 1.85,
  "e_form_raw_mev_per_atom": 433.0,
  "mass_density_g_cm3": 6.7,
  "lattice_angstrom": [[3.4605, 0.0000, 0.0000], [0.0000, 4.0039, 0.0000], [0.0000, -2.0020, 3.4675]],
  "species": ["In", "Cr", "Si"],
  "frac_coords": [[0.0000, 0.3333, 0.6667], [0.5000, 0.0000, 0.0000], [0.5000, 0.6667, 0.3333]]
}